Record 1
A plane-wave DFT calculation with GGA-PBE was carried out for a geometry-optimized Ba2SrCaS structure.

a = 6.4640 Å, b = 6.4640 Å, c = 5.5800 Å
α = 90.00°, β = 90.00°, γ = 90.00°
Positions (direct):
Ca1 0.0000 0.0000 0.5000
S1 0.0000 0.0000 0.0000
Sr1 0.5000 0.5000 0.5000
Ba1 0.5000 0.0000 0.0000
Ba2 0.0000 0.5000 0.0000

Results
- energy relative to the elements, uncorrected (eV per atom) = -0.724
- energy above the lowest structure with this stoichiometry (meV per atom) = 19.0
- SG = P4/mmm

Record 2
A plane-wave DFT calculation with GGA-PBE was carried out for a geometry-optimized BaSrCa2S structure.

a = 5.6409 Å, b = 5.6409 Å, c = 6.5295 Å
α = 90.00°, β = 90.00°, γ = 90.00°
Positions (direct):
Ba1 0.0000 0.0000 0.5000
Ca1 0.0000 0.5000 0.0000
S1 0.0000 0.0000 0.0000
Sr1 0.5000 0.5000 0.5000
Ca2 0.5000 0.0000 0.0000

Results
- energy relative to the elements, uncorrected (eV per atom) = -0.697
- energy above the lowest structure with this stoichiometry (meV per atom) = 0.0
- SG = P4/mmm

| no. | magnetic moment (Bohr magnetons per cell) |
| --- | --- |
| 1 | 0.0 |
| 2 | 0.0 |